[1]
Material: K16Cd12Sn
Method: DFT, PBE
State: optimized geometry

Values from the calculation:
- energy of formation (eV/f.u.) = -1.1
- space group = Cm, No. 8
- density (g cm⁻³) = 3.05
- total magnetization (μB per formula unit) = 0.000
- E (eV/atom) = -1.161

Cell lengths 11.113, 11.113, 11.391 Å; angles 108.63, 108.63, 106.41 degrees
Element x y z (fractional)
Cd 0.988 0.342 0.158
Cd 0.835 0.657 0.661
Cd 0.319 0.139 0.962
Cd 0.139 0.319 0.962
Cd 0.186 0.004 0.337
Cd 0.811 0.174 0.825
Cd 0.679 0.679 0.851
Cd 0.342 0.988 0.158
Cd 0.004 0.186 0.337
Cd 0.853 0.853 0.195
Cd 0.174 0.811 0.825
Cd 0.657 0.835 0.661
K 0.636 0.999 0.003
K 0.999 0.636 0.003
K 0.445 0.657 0.033
K 0.680 0.997 0.409
K 0.701 0.325 0.304
K 0.322 0.593 0.608
K 0.997 0.680 0.409
K 0.325 0.701 0.304
K 0.593 0.322 0.608
K 0.341 0.341 0.289
K 0.992 0.992 0.994
K 0.657 0.445 0.033
K 0.982 0.982 0.642
K 0.272 0.272 0.687
K 0.417 0.997 0.675
K 0.997 0.417 0.675
Sn 0.657 0.657 0.392

***

[2]
Material: Ba5PuO8
Method: DFT, PBE
State: optimized geometry

Values from the calculation:
- space group = I-4, No. 82
- density (g cm⁻³) = 6.51
- total magnetization (μB per formula unit) = 2.000
- E_form (uncorrected) (eV per atom) = -2.459
- E (eV/atom) = -7.002

Cell lengths 7.055, 7.055, 7.055 Å; angles 110.83, 106.78, 110.83 degrees
Last column: magnetic moment on the atom in μB.
Element x y z (fractional)
Ba 0.846 0.859 0.246  0.00
Ba 0.754 0.600 0.614  0.00
Ba 0.013 0.400 0.154  0.00
Ba 0.500 0.000 0.500  0.00
Ba 0.386 0.141 0.987  0.00
O 0.111 0.765 0.511  -0.04
O 0.654 0.400 0.889  -0.04
O 0.178 0.702 0.963  -0.10
O 0.489 0.600 0.253  -0.04
O 0.261 0.298 0.476  -0.10
O 0.524 0.785 0.822  -0.10
O 0.037 0.215 0.739  -0.10
O 0.747 0.235 0.346  -0.04
Pu 0.250 0.500 0.750  2.59

***

[3]
Material: LaZr4Au
Method: DFT, PBE
State: optimized geometry

Values from the calculation:
- energy of formation (eV/f.u.) = 1.4
- space group = F-43m, No. 216
- density (g cm⁻³) = 7.94
- total magnetization (μB per formula unit) = 0.000
- E (eV/atom) = -6.841

Cell lengths 5.918, 5.918, 5.918 Å; angles 60.00, 60.00, 60.00 degrees
Element x y z (fractional)
Zr 0.374 0.374 0.877
Zr 0.374 0.374 0.374
Zr 0.877 0.374 0.374
Zr 0.374 0.877 0.374
La 0.000 0.000 0.000
Au 0.750 0.750 0.750

***

[4]
Material: Y2Er3Bi2
Method: DFT, PBE
State: optimized geometry

Values from the calculation:
- energy of formation (eV/f.u.) = -3.2
- space group = C2/m, No. 12
- density (g cm⁻³) = 8.55
- total magnetization (μB per formula unit) = 0.000
- E (eV/atom) = -5.372

Cell lengths 4.331, 6.427, 8.573 Å; angles 107.26, 90.00, 109.69 degrees
Element x y z (fractional)
Er 0.626 0.251 0.444
Er 0.500 0.000 0.000
Er 0.374 0.749 0.556
Y 0.878 0.755 0.232
Y 0.122 0.245 0.768
Bi 0.175 0.350 0.189
Bi 0.825 0.650 0.811

***

[5]
Material: Tl3HgPd4
Method: DFT, PBE
State: optimized geometry

Values from the calculation:
- energy of formation (eV/f.u.) = -0.1
- space group = Imm2, No. 44
- density (g cm⁻³) = 11.61
- total magnetization (μB per formula unit) = 0.000
- E (eV/atom) = -3.532

Cell lengths 6.374, 6.374, 6.374 Å; angles 105.63, 94.54, 130.66 degrees
Element x y z (fractional)
Tl 0.109 0.000 0.109
Tl 0.446 0.226 0.672
Tl 0.446 0.774 0.220
Pd 0.048 0.245 0.804
Pd 0.755 0.319 0.075
Pd 0.755 0.681 0.436
Pd 0.559 0.755 0.804
Hg 0.031 0.500 0.531

***

[6]
Material: Ac12Ge7Pd
Method: DFT, PBE
State: optimized geometry

Values from the calculation:
- energy of formation (eV/f.u.) = -8.5
- space group = R-3, No. 148
- density (g cm⁻³) = 7.81
- total magnetization (μB per formula unit) = 0.000
- E (eV/atom) = -4.765

Cell lengths 9.787, 9.787, 9.787 Å; angles 109.89, 109.89, 109.89 degrees
Element x y z (fractional)
Ac 0.898 0.680 0.597
Ac 0.655 0.262 0.115
Ac 0.680 0.597 0.898
Ac 0.320 0.403 0.102
Ac 0.597 0.898 0.680
Ac 0.885 0.345 0.738
Ac 0.262 0.115 0.655
Ac 0.403 0.102 0.320
Ac 0.738 0.885 0.345
Ac 0.102 0.320 0.403
Ac 0.115 0.655 0.262
Ac 0.345 0.738 0.885
Ge 0.972 0.059 0.748
Ge 0.028 0.941 0.252
Ge 0.252 0.028 0.941
Ge 0.500 0.500 0.500
Ge 0.941 0.252 0.028
Ge 0.059 0.748 0.972
Ge 0.748 0.972 0.059
Pd 0.000 0.000 0.000

***

[7]
Material: BaMgRh2
Method: DFT, PBE
State: optimized geometry

Values from the calculation:
- energy of formation (eV/f.u.) = 0.3
- space group = P4/mmm, No. 123
- density (g cm⁻³) = 7.31
- total magnetization (μB per formula unit) = 0.000
- E (eV/atom) = -4.473

Cell lengths 7.703, 4.816, 3.598 Å; angles 90.00, 62.16, 128.70 degrees
Element x y z (fractional)
Ba 0.000 0.500 0.500
Rh 0.500 0.000 0.500
Rh 0.000 0.000 0.000
Mg 0.500 0.500 0.000

***

[8]
Material: Nd5Ho2Sc4
Method: DFT, PBE
State: optimized geometry

Values from the calculation:
- energy of formation (eV/f.u.) = 1.7
- space group = Immm, No. 71
- density (g cm⁻³) = 5.87
- total magnetization (μB per formula unit) = 0.000
- E (eV/atom) = -5.146

Cell lengths 3.451, 8.811, 12.385 Å; angles 110.84, 98.01, 90.00 degrees
Element x y z (fractional)
Sc 0.000 0.675 0.000
Sc 0.407 0.407 0.814
Sc 0.593 0.593 0.186
Sc 0.000 0.325 0.000
Ho 0.729 0.729 0.459
Ho 0.271 0.271 0.541
Nd 0.142 0.939 0.284
Nd 0.858 0.655 0.716
Nd 0.500 0.000 0.000
Nd 0.142 0.345 0.284
Nd 0.858 0.061 0.716

***

[9]
Material: RbMgAs2Br
Method: DFT, PBE
State: optimized geometry

Values from the calculation:
- space group = P4/mmm, No. 123
- density (g cm⁻³) = 3.57
- total magnetization (μB per formula unit) = 1.795
- E_form (uncorrected) (eV per atom) = -0.231
- E (eV/atom) = -2.938

Cell lengths 5.144, 5.144, 5.965 Å; angles 90.00, 90.00, 90.00 degrees
Last column: magnetic moment on the atom in μB.
Element x y z (fractional)
As 0.500 0.000 0.000  0.35
As 0.000 0.500 0.000  0.35
Br 0.000 0.000 0.500  0.14
Rb 0.500 0.500 0.500  0.01
Mg 0.000 0.000 0.000  -0.01

***

[10]
Material: AcTb2Tl
Method: DFT, PBE
State: optimized geometry

Values from the calculation:
- energy of formation (eV/f.u.) = -0.4
- space group = P4/mmm, No. 123
- density (g cm⁻³) = 9.67
- total magnetization (μB per formula unit) = 0.799
- E (eV/atom) = -4.046

Cell lengths 5.012, 5.067, 5.067 Å; angles 90.00, 90.00, 90.00 degrees
Last column: magnetic moment on the atom in μB.
Element x y z (fractional)
Tl 0.500 0.000 0.000  0.00
Tb 0.000 0.500 0.000  0.21
Tb 0.000 0.000 0.500  0.21
Ac 0.500 0.500 0.500  0.09

***

[11]
Material: AcEu2Ga
Method: DFT, PBE
State: optimized geometry

Values from the calculation:
- energy of formation (eV/f.u.) = 0.1
- space group = Fm-3m, No. 225
- density (g cm⁻³) = 7.70
- total magnetization (μB per formula unit) = 15.765
- E (eV/atom) = -6.899

Cell lengths 5.679, 5.679, 5.679 Å; angles 60.00, 60.00, 60.00 degrees
Last column: magnetic moment on the atom in μB.
Element x y z (fractional)
Ac 0.500 0.500 0.500  0.39
Ga 0.000 0.000 0.000  -0.06
Eu 0.750 0.750 0.750  7.02
Eu 0.250 0.250 0.250  7.02

***

[12]
Material: MgBr
Method: DFT, PBE
State: optimized geometry

Values from the calculation:
- space group = Fm-3m, No. 225
- density (g cm⁻³) = 2.99
- total magnetization (μB per formula unit) = 0.002
- E_form (uncorrected) (eV per atom) = -0.501
- E (eV/atom) = -2.135

Cell lengths 4.342, 4.342, 4.342 Å; angles 60.00, 60.00, 60.00 degrees
Element x y z (fractional)
Mg 0.500 0.500 0.500
Br 0.000 0.000 0.000

***

[13]
Material: La2YZn
Method: DFT, PBE
State: optimized geometry

Values from the calculation:
- energy of formation (eV/f.u.) = -0.6
- space group = I4/mmm, No. 139
- density (g cm⁻³) = 5.95
- total magnetization (μB per formula unit) = 0.000
- E (eV/atom) = -4.559

Cell lengths 5.232, 5.232, 9.549 Å; angles 105.90, 105.90, 90.00 degrees
Element x y z (fractional)
Y 0.848 0.848 0.696
Y 0.152 0.152 0.304
La 0.000 0.500 0.000
La 0.643 0.643 0.286
La 0.500 0.000 0.000
La 0.357 0.357 0.714
Zn 0.250 0.750 0.500
Zn 0.750 0.250 0.500

***

[14]
Material: Ho5Co2Cu
Method: DFT, PBE
State: optimized geometry

Values from the calculation:
- energy of formation (eV/f.u.) = -1.6
- space group = I4/mcm, No. 140
- density (g cm⁻³) = 9.32
- total magnetization (μB per formula unit) = 0.000
- E (eV/atom) = -5.349

Cell lengths 7.458, 7.458, 8.330 Å; angles 116.59, 116.59, 90.00 degrees
Element x y z (fractional)
Ho 0.474 0.300 0.274
Ho 0.026 0.526 0.726
Ho 0.000 0.000 0.000
Ho 0.526 0.700 0.726
Ho 0.500 0.500 0.000
Ho 0.700 0.200 0.726
Ho 0.200 0.026 0.726
Ho 0.800 0.974 0.274
Ho 0.974 0.474 0.274
Ho 0.300 0.800 0.274
Co 0.867 0.633 0.000
Co 0.633 0.133 0.000
Co 0.367 0.867 0.000
Co 0.133 0.367 0.000
Cu 0.750 0.750 0.500
Cu 0.250 0.250 0.500

***

[15]
Material: SiSn2BiW
Method: DFT, PBE
State: optimized geometry

Values from the calculation:
- space group = P4/mmm, No. 123
- density (g cm⁻³) = 7.29
- total magnetization (μB per formula unit) = 1.230
- E_form (uncorrected) (eV per atom) = 0.975
- E (eV/atom) = -5.078

Cell lengths 5.283, 5.370, 5.283 Å; angles 90.00, 90.00, 90.00 degrees
Last column: magnetic moment on the atom in μB.
Element x y z (fractional)
Bi 0.000 0.500 0.000  -0.04
W 0.000 0.000 0.000  0.30
Si 0.500 0.500 0.500  0.27
Sn 0.000 0.000 0.500  0.00
Sn 0.500 0.000 0.000  0.01

***

[16]
Material: MgCd3InHg
Method: DFT, PBE
State: optimized geometry

Values from the calculation:
- energy of formation (eV/f.u.) = -0.1
- space group = P2_1/m, No. 11
- density (g cm⁻³) = 7.93
- total magnetization (μB per formula unit) = 0.000
- E (eV/atom) = -1.251

Cell lengths 3.245, 9.998, 10.154 Å; angles 120.67, 90.00, 90.00 degrees
Element x y z (fractional)
Cd 0.750 0.421 0.571
Cd 0.250 0.579 0.429
Cd 0.750 0.391 0.136
Cd 0.250 0.609 0.864
Cd 0.250 0.089 0.934
Cd 0.750 0.911 0.066
Hg 0.250 0.936 0.584
Hg 0.750 0.064 0.416
Mg 0.750 0.787 0.720
Mg 0.250 0.213 0.280
In 0.250 0.713 0.206
In 0.750 0.287 0.794

***

[17]
Material: TaCuSb2I
Method: DFT, PBE
State: optimized geometry

Values from the calculation:
- space group = P4/mmm, No. 123
- density (g cm⁻³) = 6.40
- total magnetization (μB per formula unit) = 0.000
- E_form (uncorrected) (eV per atom) = 0.792
- E (eV/atom) = -4.357

Cell lengths 5.377, 5.377, 5.519 Å; angles 90.00, 90.00, 90.00 degrees
Element x y z (fractional)
Ta 0.000 0.000 0.000
Sb 0.500 0.000 0.000
Sb 0.000 0.500 0.000
Cu 0.500 0.500 0.500
I 0.000 0.000 0.500

***

[18]
Material: Np2Ni3H12Ru
Method: DFT, PBE
State: optimized geometry

Values from the calculation:
- space group = R-3m, No. 166
- density (g cm⁻³) = 9.05
- total magnetization (μB per formula unit) = 9.026
- E (eV/atom) = -5.217

Cell lengths 5.944, 5.944, 5.944 Å; angles 57.54, 57.54, 57.54 degrees
Last column: magnetic moment on the atom in μB.
Element x y z (fractional)
H 0.667 0.667 0.132  -0.01
H 0.868 0.333 0.333  -0.01
H 0.132 0.667 0.667  -0.01
H 0.105 0.105 0.629  -0.01
H 0.895 0.371 0.895  -0.01
H 0.333 0.868 0.333  -0.01
H 0.895 0.895 0.371  -0.01
H 0.105 0.629 0.105  -0.01
H 0.371 0.895 0.895  -0.01
H 0.667 0.132 0.667  -0.01
H 0.333 0.333 0.868  -0.01
H 0.629 0.105 0.105  -0.01
Ni 0.000 0.000 0.500  0.09
Ni 0.000 0.500 0.000  0.09
Ni 0.500 0.000 0.000  0.09
Np 0.389 0.389 0.389  4.09
Np 0.611 0.611 0.611  4.09
Ru 0.000 0.000 0.000  0.07

***

[19]
Material: Sc6As3SeS2
Method: DFT, PBE
State: optimized geometry

Values from the calculation:
- space group = C2/m, No. 12
- density (g cm⁻³) = 4.48
- total magnetization (μB per formula unit) = 0.000
- E_form (uncorrected) (eV per atom) = -1.605
- E (eV/atom) = -6.911

Cell lengths 3.819, 7.638, 8.550 Å; angles 102.98, 102.91, 90.00 degrees
Element x y z (fractional)
S 0.167 0.334 0.335
S 0.833 0.666 0.665
Sc 0.002 0.259 0.004
Sc 0.668 0.582 0.336
Sc 0.329 0.913 0.658
Sc 0.998 0.741 0.996
Sc 0.671 0.087 0.342
Sc 0.332 0.418 0.664
As 0.500 0.500 0.000
As 0.835 0.168 0.670
As 0.165 0.832 0.330
Se 0.500 0.000 0.000

***

[20]
Material: Be5Ni3
Method: DFT, PBE
State: optimized geometry

Values from the calculation:
- energy of formation (eV/f.u.) = -2.8
- space group = Fmmm, No. 69
- density (g cm⁻³) = 5.26
- total magnetization (μB per formula unit) = 0.000
- E (eV/atom) = -4.852

Cell lengths 3.636, 3.636, 5.868 Å; angles 107.90, 107.90, 90.44 degrees
Element x y z (fractional)
Be 0.875 0.375 0.751
Be 0.125 0.625 0.249
Be 0.625 0.125 0.249
Be 0.000 0.000 0.000
Be 0.375 0.875 0.751
Ni 0.249 0.249 0.498
Ni 0.751 0.751 0.502
Ni 0.500 0.500 0.000

***

[21]
Material: TaPt2Se
Method: DFT, PBE
State: optimized geometry

Values from the calculation:
- space group = Amm2, No. 38
- density (g cm⁻³) = 15.68
- total magnetization (μB per formula unit) = 0.000
- E_form (uncorrected) (eV per atom) = -0.232
- E (eV/atom) = -7.086

Cell lengths 3.738, 3.179, 6.010 Å; angles 74.63, 90.00, 90.00 degrees
Element x y z (fractional)
Pt 0.500 0.450 0.224
Pt 0.000 0.069 0.988
Se 0.000 0.295 0.535
Ta 0.500 0.686 0.753

***

[22]
Material: K2YCd2Te4
Method: DFT, PBE
State: optimized geometry

Values from the calculation:
- space group = C2/m, No. 12
- density (g cm⁻³) = 4.78
- total magnetization (μB per formula unit) = 0.000
- E_form (uncorrected) (eV per atom) = -0.871
- E (eV/atom) = -3.433

Cell lengths 4.462, 8.824, 9.015 Å; angles 113.51, 104.33, 90.00 degrees
Element x y z (fractional)
Te 0.808 0.770 0.617
Te 0.481 0.233 0.962
Te 0.519 0.767 0.038
Te 0.192 0.230 0.383
Cd 0.310 0.989 0.621
Cd 0.690 0.011 0.379
K 0.874 0.431 0.747
K 0.126 0.569 0.253
Y 0.000 0.000 0.000

***

[23]
Material: KSr2Tl
Method: DFT, PBE
State: optimized geometry

Values from the calculation:
- energy of formation (eV/f.u.) = -0.1
- space group = P4/mmm, No. 123
- density (g cm⁻³) = 4.11
- total magnetization (μB per formula unit) = 0.858
- E (eV/atom) = -1.727

Cell lengths 6.047, 6.047, 4.624 Å; angles 90.00, 90.00, 90.01 degrees
Last column: magnetic moment on the atom in μB.
Element x y z (fractional)
K 0.000 0.500 0.500  0.03
Tl 0.500 0.000 0.500  0.04
Sr 0.000 0.000 0.000  0.06
Sr 0.500 0.500 0.000  0.06